Record 1
Density functional theory data (PBE) for C2Se after structural relaxation.

Output
Space-group type: P4/nmm, No. 129
N(E_F) (states/eV/atom): 0.35
Energy relative to the lowest polymorph listed for this composition (eV/atom): 1.2626
Formation energy without anion corrections (eV/f.u.): 4.60

Unit cell a=3.028 b=3.028 c=8.442 alpha=90.00 beta=90.00 gamma=90.00
Positions (direct):
C 0.000 0.500 0.081
C 0.000 0.000 0.000
C 0.500 0.500 0.000
C 0.500 0.000 0.919
Se 0.000 0.500 0.319
Se 0.500 0.000 0.681



Record 2
Density functional theory data (PBE) for CSe after structural relaxation.

Output
Space-group type: Cmmm, No. 65
N(E_F) (states/eV/atom): 0.48
Energy relative to the lowest polymorph listed for this composition (eV/atom): 1.4936
Formation energy without anion corrections (eV/f.u.): 4.00

Unit cell a=10.300 b=10.300 c=3.077 alpha=90.00 beta=90.00 gamma=159.67
Positions (direct):
Se 0.321 0.679 0.500
Se 0.000 0.000 0.000
Se 0.679 0.321 0.500
C 0.500 0.000 0.000
C 0.000 0.500 0.000
C 0.500 0.500 0.000



Record 3
Density functional theory data (PBE) for CSe3 after structural relaxation.

Output
Space-group type: I4/mmm, No. 139
N(E_F) (states/eV/atom): 0.53
Energy relative to the lowest polymorph listed for this composition (eV/atom): 0.9192
Formation energy without anion corrections (eV/f.u.): 5.94

Unit cell a=17.062 b=17.062 c=17.062 alpha=168.23 beta=168.23 gamma=16.67
Positions (direct):
Se 0.250 0.750 0.500
Se 0.500 0.000 0.500
Se 0.125 0.125 0.000
Se 0.875 0.875 0.000
Se 0.750 0.250 0.500
Se 0.000 0.500 0.500
C 0.625 0.625 0.000
C 0.375 0.375 0.000



Record 4
Density functional theory data (PBE) for CSe3 after structural relaxation.

Output
Space-group type: Pm-3n, No. 223
N(E_F) (states/eV/atom): 0.86
Energy relative to the lowest polymorph listed for this composition (eV/atom): 1.3883
Formation energy without anion corrections (eV/f.u.): 7.82

Unit cell a=5.220 b=5.220 c=5.220 alpha=90.00 beta=90.00 gamma=90.00
Positions (direct):
C 0.000 0.000 0.000
C 0.500 0.500 0.500
Se 0.000 0.750 0.500
Se 0.250 0.500 0.000
Se 0.000 0.250 0.500
Se 0.750 0.500 0.000
Se 0.500 0.000 0.250
Se 0.500 0.000 0.750



Record 5
Density functional theory data (PBE) for CSe after structural relaxation.

Output
Space-group type: Pm-3m, No. 221
N(E_F) (states/eV/atom): 0.81
Energy relative to the lowest polymorph listed for this composition (eV/atom): 1.8842
Formation energy without anion corrections (eV/f.u.): 4.78

Unit cell a=4.397 b=4.397 c=4.397 alpha=90.00 beta=90.00 gamma=90.00
Positions (direct):
Se 0.000 0.500 0.000
Se 0.000 0.000 0.500
Se 0.500 0.000 0.000
C 0.000 0.500 0.500
C 0.500 0.500 0.000
C 0.500 0.000 0.500



Record 6
Density functional theory data (PBE) for CSe after structural relaxation.

Output
Space-group type: Fm-3m, No. 225
N(E_F) (states/eV/atom): 0.47
Energy relative to the lowest polymorph listed for this composition (eV/atom): 1.4319
Formation energy without anion corrections (eV/f.u.): 3.87

Unit cell a=3.258 b=3.258 c=3.258 alpha=60.00 beta=60.00 gamma=60.00
Positions (direct):
Se 0.500 0.500 0.500
C 0.000 0.000 0.000



Record 7
Density functional theory data (PBE) for CSe after structural relaxation.

Output
Space-group type: C2/m, No. 12
N(E_F) (states/eV/atom): 0.15
Energy relative to the lowest polymorph listed for this composition (eV/atom): 1.1356
Formation energy without anion corrections (eV/f.u.): 3.28

Unit cell a=6.197 b=7.348 c=3.166 alpha=77.56 beta=75.20 gamma=29.04
Positions (direct):
Se 0.619 0.932 0.224
Se 0.298 0.651 0.526
C 0.033 0.584 0.691
C 0.884 0.999 0.059



Record 8
Density functional theory data (PBE) for CSe after structural relaxation.

Output
Space-group type: Imm2, No. 44
N(E_F) (states/eV/atom): 0.18
Energy relative to the lowest polymorph listed for this composition (eV/atom): 1.1126
Formation energy without anion corrections (eV/f.u.): 3.23

Unit cell a=3.000 b=4.921 c=3.926 alpha=90.00 beta=90.00 gamma=90.00
Positions (direct):
C 0.000 0.000 0.158
C 0.500 0.500 0.658
Se 0.000 0.500 0.335
Se 0.500 0.000 0.835



Record 9
Density functional theory data (PBE) for CSe after structural relaxation.

Output
Space-group type: Cmme, No. 67
N(E_F) (states/eV/atom): 0.41
Energy relative to the lowest polymorph listed for this composition (eV/atom): 1.1647
Formation energy without anion corrections (eV/f.u.): 3.34

Unit cell a=5.006 b=5.006 c=8.459 alpha=90.00 beta=90.00 gamma=145.73
Positions (direct):
C 0.000 0.000 0.996
C 0.500 0.500 0.754
Se 0.000 0.000 0.621
Se 0.500 0.500 0.129



Record 10
Density functional theory data (PBE) for CSe3 after structural relaxation.

Output
Space-group type: P6_3/mmc, No. 194
N(E_F) (states/eV/atom): 0.39
Energy relative to the lowest polymorph listed for this composition (eV/atom): 0.7819
Formation energy without anion corrections (eV/f.u.): 5.39

Unit cell a=7.079 b=7.079 c=3.352 alpha=90.00 beta=90.00 gamma=120.00
Positions (direct):
C 0.667 0.333 0.750
C 0.333 0.667 0.250
Se 0.806 0.194 0.250
Se 0.806 0.612 0.250
Se 0.194 0.806 0.750
Se 0.388 0.194 0.250
Se 0.612 0.806 0.750
Se 0.194 0.388 0.750



Record 11
Density functional theory data (PBE) for C2Se after structural relaxation.

Output
Space-group type: I4/mmm, No. 139
N(E_F) (states/eV/atom): 0.32
Energy relative to the lowest polymorph listed for this composition (eV/atom): 1.8129
Formation energy without anion corrections (eV/f.u.): 6.25

Unit cell a=5.090 b=5.090 c=5.090 alpha=151.31 beta=151.31 gamma=41.03
Positions (direct):
C 0.763 0.763 0.000
C 0.237 0.237 0.000
Se 0.000 0.000 0.000



Record 12
Density functional theory data (PBE) for C3Se4 after structural relaxation.

Output
Space-group type: I4/mmm, No. 139
N(E_F) (states/eV/atom): 0.41
Energy relative to the lowest polymorph listed for this composition (eV/atom): 0.3230
Formation energy without anion corrections (eV/f.u.): 12.85

Unit cell a=10.961 b=10.961 c=10.961 alpha=162.88 beta=162.88 gamma=24.31
Positions (direct):
Se 0.446 0.446 0.000
Se 0.803 0.803 0.000
Se 0.554 0.554 0.000
Se 0.197 0.197 0.000
C 0.000 0.000 0.000
C 0.289 0.289 0.000
C 0.711 0.711 0.000



Record 13
Density functional theory data (PBE) for C5Se4 after structural relaxation.

Output
Space-group type: P6_3/mcm, No. 193
N(E_F) (states/eV/atom): 0.46
Energy relative to the lowest polymorph listed for this composition (eV/atom): 1.1644
Formation energy without anion corrections (eV/f.u.): 20.99

Unit cell a=6.631 b=6.631 c=6.354 alpha=90.00 beta=90.00 gamma=120.00
Positions (direct):
C 0.791 0.000 0.250
C 0.791 0.791 0.750
C 0.000 0.209 0.750
C 0.333 0.667 0.500
C 0.209 0.209 0.250
C 0.333 0.667 0.000
C 0.667 0.333 0.000
C 0.667 0.333 0.500
C 0.209 0.000 0.750
C 0.000 0.791 0.250
Se 0.510 0.000 0.250
Se 0.510 0.510 0.750
Se 0.000 0.000 0.500
Se 0.490 0.490 0.250
Se 0.490 0.000 0.750
Se 0.000 0.490 0.750
Se 0.000 0.000 0.000
Se 0.000 0.510 0.250



Record 14
Density functional theory data (PBE) for CSe after structural relaxation.

Output
Space-group type: C2/m, No. 12
Energy relative to the lowest polymorph listed for this composition (eV/atom): 0.2164
Formation energy without anion corrections (eV/f.u.): 1.44

Unit cell a=7.203 b=7.203 c=4.975 alpha=72.32 beta=72.32 gamma=24.35
Positions (direct):
Se 0.514 0.514 0.735
Se 0.236 0.236 0.015
C 0.925 0.925 0.825
C 0.825 0.825 0.925



Record 15
Density functional theory data (PBE) for CSe after structural relaxation.

Output
Space-group type: C2/m, No. 12
N(E_F) (states/eV/atom): 0.16
Energy relative to the lowest polymorph listed for this composition (eV/atom): 0.3661
Formation energy without anion corrections (eV/f.u.): 1.74

Unit cell a=6.184 b=3.533 c=10.692 alpha=90.00 beta=94.42 gamma=90.00
Positions (direct):
C 0.084 0.500 0.470
C 0.916 0.000 0.030
C 0.916 0.500 0.530
C 0.084 0.000 0.970
Se 0.673 0.500 0.602
Se 0.327 0.500 0.398
Se 0.673 0.000 0.102
Se 0.327 0.000 0.898



Record 16
Density functional theory data (PBE) for CSe3 after structural relaxation.

Output
Space-group type: Cmmm, No. 65
N(E_F) (states/eV/atom): 0.50
Energy relative to the lowest polymorph listed for this composition (eV/atom): 0.6275
Formation energy without anion corrections (eV/f.u.): 4.77

Unit cell a=4.156 b=4.156 c=7.094 alpha=90.00 beta=90.00 gamma=134.49
Positions (direct):
Se 0.500 0.500 0.798
Se 0.000 0.000 0.500
Se 0.500 0.500 0.202
C 0.000 0.000 0.000



Record 17
Density functional theory data (PBE) for CSe after structural relaxation.

Output
Space-group type: Pm-3m, No. 221
N(E_F) (states/eV/atom): 1.03
Energy relative to the lowest polymorph listed for this composition (eV/atom): 2.1810
Formation energy without anion corrections (eV/f.u.): 5.37

Unit cell a=2.959 b=2.959 c=2.959 alpha=90.00 beta=90.00 gamma=90.00
Positions (direct):
Se 0.500 0.500 0.500
C 0.000 0.000 0.000



Record 18
Density functional theory data (PBE) for CSe after structural relaxation.

Output
Space-group type: P6_3/m, No. 176
N(E_F) (states/eV/atom): 0.44
Energy relative to the lowest polymorph listed for this composition (eV/atom): 1.1612
Formation energy without anion corrections (eV/f.u.): 3.33

Unit cell a=7.180 b=7.180 c=4.896 alpha=90.00 beta=90.00 gamma=120.00
Positions (direct):
Se 0.921 0.309 0.250
Se 0.691 0.612 0.250
Se 0.388 0.079 0.250
Se 0.079 0.691 0.750
Se 0.309 0.388 0.750
Se 0.612 0.921 0.750
C 0.352 0.940 0.750
C 0.940 0.587 0.250
C 0.648 0.060 0.250
C 0.587 0.648 0.750
C 0.413 0.352 0.250
C 0.060 0.413 0.750



Record 19
Density functional theory data (PBE) for CSe3 after structural relaxation.

Output
Space-group type: Cmmm, No. 65
N(E_F) (states/eV/atom): 0.66
Energy relative to the lowest polymorph listed for this composition (eV/atom): 1.2696
Formation energy without anion corrections (eV/f.u.): 7.34

Unit cell a=4.464 b=4.464 c=3.688 alpha=90.00 beta=90.00 gamma=105.49
Positions (direct):
Se 0.500 0.000 0.500
Se 0.500 0.500 0.000
Se 0.000 0.500 0.500
C 0.000 0.000 0.000



Record 20
Density functional theory data (PBE) for CSe3 after structural relaxation.

Output
Space-group type: Cmcm, No. 63
N(E_F) (states/eV/atom): 0.51
Energy relative to the lowest polymorph listed for this composition (eV/atom): 0.5710
Formation energy without anion corrections (eV/f.u.): 4.55

Unit cell a=10.184 b=10.184 c=3.098 alpha=90.00 beta=90.00 gamma=141.07
Positions (direct):
Se 0.168 0.832 0.250
Se 0.603 0.827 0.250
Se 0.832 0.168 0.750
Se 0.397 0.173 0.750
Se 0.827 0.603 0.750
Se 0.173 0.397 0.250
C 0.386 0.614 0.750
C 0.614 0.386 0.250